(1)
Compound: TiBr2O
Source: Alexandria
Functional: PBE
Structure: optimized geometry

Cell and atoms, written as CIF:
```
data_TiBr2O
_chemical_formula_sum 'Ti3 Br6 O3'
_cell_length_a 3.5854
_cell_length_b 3.5854
_cell_length_c 25.0774
_cell_angle_alpha 90.00
_cell_angle_beta 90.00
_cell_angle_gamma 120.00
_symmetry_space_group_name_H-M 'R -3 m'
_symmetry_Int_Tables_number 166
_symmetry_space_group_name_Hall '-R 3 2"'
loop_
_atom_site_label
_atom_site_type_symbol
_atom_site_fract_x
_atom_site_fract_y
_atom_site_fract_z
_atom_site_occupancy
Ti1 Ti 0.0000 0.0000 0.0000 1
Br1 Br 0.0000 0.0000 0.0931 1
O1 O 0.0000 0.0000 0.5000 1
```

(2)
Compound: CeSm2I
Source: Alexandria
Functional: PBE
Structure: optimized geometry

Cell and atoms, written as CIF:
```
data_CeSm2I
_chemical_formula_sum 'Ce3 Sm6 I3'
_cell_length_a 3.5863
_cell_length_b 3.5863
_cell_length_c 35.4639
_cell_angle_alpha 90.00
_cell_angle_beta 90.00
_cell_angle_gamma 120.00
_symmetry_space_group_name_H-M 'R -3 m'
_symmetry_Int_Tables_number 166
_symmetry_space_group_name_Hall '-R 3 2"'
loop_
_atom_site_label
_atom_site_type_symbol
_atom_site_fract_x
_atom_site_fract_y
_atom_site_fract_z
_atom_site_occupancy
Ce1 Ce 0.0000 0.0000 0.0000 1
Sm1 Sm 0.0000 0.0000 0.0949 1
I1 I 0.0000 0.0000 0.5000 1
```

no.,formation energy from raw total energies (eV per atom),magnetic moment (μB/f.u.),E (eV per atom)
1,0.420,1.76,-3.630
2,-0.054,0.95,-4.285